A relaxed structure of Rb2Ga4Sn3Bi, computed with GGA-PBE.

Calculated values
**ΔH_f (0 K)**: -0.147 eV/atom
**Final energy**: -31.406 eV for the cell shown
**Symmetry**: P-4m2, No. 115

Lattice parameters (Å, degrees): 5.1089 5.1089 11.2399 90.00 90.00 90.00
Positions (direct):
Sn  0.5000  0.0000  0.8807
Sn  0.0000  0.5000  0.1193
Sn  0.0000  0.0000  0.5000
Ga  0.5000  0.0000  0.6334
Ga  0.5000  0.5000  0.0000
Ga  0.0000  0.0000  0.0000
Ga  0.0000  0.5000  0.3666
Bi  0.5000  0.5000  0.5000
Rb  0.0000  0.5000  0.7587
Rb  0.5000  0.0000  0.2413